A plane-wave DFT calculation with PBE was carried out for a relaxed La4ScSb2 crystal.

Properties
- N(E_F): 1.0556 states/eV per atom
- Raw total energy: -5.0712 eV per atom
- Formation energy (no corrections): -0.173 eV per atom

Cell lengths 5.2813, 5.2813, 17.3527 Å; angles 90.00, 90.00, 90.00 degrees
Closest atoms and distances in Å follow each position.
Space group I4/mmm (No. 139)
Inequivalent atoms, fractional coordinates:
La: 0.0000 0.0000 0.1797 [4 per cell]  1 Sc 3.12, 1 Sb 3.19
La: 0.0000 0.5000 0.0000 [4 per cell]  2 Sc 2.64
Sc: 0.0000 0.0000 0.0000 [2 per cell]  4 La 2.64
Sb: 0.0000 0.0000 0.3634 [4 per cell]  5 La 3.19-3.55